DFT (PBE) results for Tl2TcTe after structural relaxation.

Cell lengths 3.208, 3.208, 9.776 Å; angles 90.00, 90.00, 90.00 degrees
Fractional coordinates of all 4 atoms:
Tl1 0.000 0.000 0.196
Tl2 0.000 0.000 0.804
Tc1 0.500 0.500 0.000
Te1 0.500 0.500 0.500

Summary:
Polymorph energy (0 for the lowest one) ... 451 meV per atom
Uncorrected energy ... -3.95 eV per atom
Uncorrected formation energy ... 0.612 eV per atom

=====

DFT (PBE) results for TlTcTe after structural relaxation.

Cell lengths 7.063, 7.063, 7.063 Å; angles 153.27, 153.27, 38.16 degrees
Fractional coordinates of all 3 atoms:
Tl1 0.000 0.000 0.000
Tc1 0.345 0.345 0.000
Te1 0.740 0.740 0.000

Summary:
Polymorph energy (0 for the lowest one) ... 0 meV per atom
Uncorrected energy ... -5.08 eV per atom
Uncorrected formation energy ... 0.215 eV per atom

=====

DFT (PBE) results for TlTcTe2 after structural relaxation.

Cell lengths 3.216, 3.216, 10.022 Å; angles 90.00, 90.00, 90.00 degrees
Fractional coordinates of all 4 atoms:
Tl1 0.000 0.000 0.000
Tc1 0.500 0.500 0.206
Te1 0.000 0.000 0.353
Te2 0.500 0.500 0.699

Summary:
Polymorph energy (0 for the lowest one) ... 178 meV per atom
Uncorrected energy ... -4.55 eV per atom
Uncorrected formation energy ... 0.200 eV per atom

=====

DFT (PBE) results for TlTcTe2 after structural relaxation.

Cell lengths 10.395, 10.395, 10.395 Å; angles 19.03, 19.03, 19.03 degrees
Fractional coordinates of all 4 atoms:
Tl1 0.000 0.000 0.000
Tc1 0.262 0.262 0.262
Te1 0.540 0.540 0.540
Te2 0.754 0.754 0.754

Summary:
Polymorph energy (0 for the lowest one) ... 189 meV per atom
Uncorrected energy ... -4.54 eV per atom
Uncorrected formation energy ... 0.211 eV per atom

=====

In the order shown, the computed magnetic moment values come out to 1.893 0.000 0.000 0.001 Bohr magnetons per cell.